[1]
# Tb3Tl3MoO8

Tb3Tl3MoO8 after structural relaxation (PBE with a Hubbard U, Alexandria).

Cell: 6.8509 6.9042 7.6371 Å, 116.58 90.00 119.75°
Last column: magnetic moment on the atom in μB.
Sites, in units of the cell vectors:
Tb  0.5000  0.0000  0.5000  0.00
Tb  0.5000  0.5000  0.5000  0.01
Tb  0.0000  0.5000  0.5000  0.01
Tl  0.0000  0.0000  0.0000  0.00
Tl  0.0000  0.5000  0.0000  0.00
Tl  0.5000  0.5000  0.0000  0.00
Mo  0.0000  0.0000  0.5000  1.86
O  0.2787  0.5574  0.3306  0.00
O  0.7213  0.4426  0.6694  0.00
O  0.7871  0.5741  0.3336  0.03
O  0.2129  0.4259  0.6664  0.03
O  0.7947  0.0458  0.3373  0.01
O  0.2053  0.9542  0.6627  0.01
O  0.2510  0.0458  0.3373  0.01
O  0.7490  0.9542  0.6627  0.01

Properties
* energy: -6.732 eV per atom

***

[2]
# Tb2TmMoO8

Tb2TmMoO8 after structural relaxation (PBE with a Hubbard U, Alexandria).

Cell: 5.0709 5.0696 6.7609 Å, 90.00 90.00 90.89°
Last column: magnetic moment on the atom in μB.
Sites, in units of the cell vectors:
Tb  0.5000  0.5000  0.7489  0.00
Tb  0.5000  0.5000  0.2511  0.00
Tm  0.0000  0.0000  0.5000  0.01
Mo  0.0000  0.0000  0.0000  -0.11
O  0.1806  0.8183  0.2152  0.10
O  0.7266  0.7278  0.0000  0.16
O  0.8194  0.1817  0.2152  0.10
O  0.8194  0.1817  0.7848  0.10
O  0.2734  0.2722  0.0000  0.16
O  0.1806  0.8183  0.7848  0.10
O  0.6964  0.6977  0.5000  0.10
O  0.3036  0.3023  0.5000  0.10

Properties
* energy: -7.715 eV per atom

***

[3]
# TbV2MoO8

TbV2MoO8 after structural relaxation (PBE with a Hubbard U, Alexandria).

Cell: 5.8048 5.8048 6.2239 Å, 90.00 90.00 120.00°
Last column: magnetic moment on the atom in μB.
Sites, in units of the cell vectors:
Tb  0.0000  0.0000  0.0000  0.01
V  0.6667  0.3333  0.3412  0.07
V  0.3333  0.6667  0.6588  0.07
Mo  0.0000  0.0000  0.5000  2.73
O  0.8390  0.1610  0.2610  -0.01
O  0.8390  0.6780  0.2610  -0.01
O  0.3220  0.1610  0.2610  -0.01
O  0.6780  0.8390  0.7390  -0.01
O  0.3333  0.6667  0.3977  0.01
O  0.6667  0.3333  0.6023  0.01
O  0.1610  0.8390  0.7390  -0.01
O  0.1610  0.3220  0.7390  -0.01

Properties
* energy: -7.671 eV per atom

***

[4]
# TbY2MoO8

TbY2MoO8 after structural relaxation (PBE with a Hubbard U, Alexandria).

Cell: 5.0648 5.0670 6.8267 Å, 90.00 90.00 90.72°
Last column: magnetic moment on the atom in μB.
Sites, in units of the cell vectors:
Tb  0.0000  0.0000  0.5000  0.01
Y  0.5000  0.5000  0.7514  -0.01
Y  0.5000  0.5000  0.2486  -0.01
Mo  0.0000  0.0000  0.0000  -0.09
O  0.1825  0.8175  0.2110  0.08
O  0.7255  0.7257  0.0000  0.14
O  0.8175  0.1825  0.2110  0.08
O  0.8175  0.1825  0.7890  0.08
O  0.2745  0.2743  0.0000  0.14
O  0.1825  0.8175  0.7890  0.08
O  0.6920  0.6918  0.5000  0.10
O  0.3080  0.3082  0.5000  0.10

Properties
* energy: -8.017 eV per atom

***

[5]
# Tb2YMoO8

Tb2YMoO8 after structural relaxation (PBE with a Hubbard U, Alexandria).

Cell: 5.0808 5.0796 6.8270 Å, 90.00 90.00 90.72°
Last column: magnetic moment on the atom in μB.
Sites, in units of the cell vectors:
Tb  0.5000  0.5000  0.7499  -0.01
Tb  0.5000  0.5000  0.2501  -0.01
Y  0.0000  0.0000  0.5000  0.00
Mo  0.0000  0.0000  0.0000  -0.11
O  0.1817  0.8173  0.2112  0.10
O  0.7266  0.7277  0.0000  0.17
O  0.8183  0.1827  0.2112  0.10
O  0.8183  0.1827  0.7888  0.10
O  0.2734  0.2723  0.0000  0.17
O  0.1817  0.8173  0.7888  0.10
O  0.6927  0.6940  0.5000  0.09
O  0.3073  0.3060  0.5000  0.09

Properties
* energy: -7.864 eV per atom

***

[6]
# TbZnMoO6

TbZnMoO6 after structural relaxation (PBE with a Hubbard U, Alexandria).

Cell: 4.4214 5.4889 5.4889 Å, 120.00 90.00 90.00°
Last column: magnetic moment on the atom in μB.
Sites, in units of the cell vectors:
Tb  0.5000  0.6667  0.3333  -0.01
Zn  0.0000  0.3333  0.6667  0.01
Mo  0.5000  0.0000  0.0000  -0.15
O  0.7406  0.6940  0.7108  0.17
O  0.7406  0.2892  0.9832  0.17
O  0.7406  0.0168  0.3060  0.17
O  0.2594  0.2892  0.3060  0.17
O  0.2594  0.6940  0.9832  0.17
O  0.2594  0.0168  0.7108  0.17

Properties
* energy: -6.516 eV per atom

***

[7]
# Tc2MoO8

Tc2MoO8 after structural relaxation (PBE with a Hubbard U, Alexandria).

Cell: 5.3258 6.3432 6.3432 Å, 76.51 95.74 95.74°
Last column: magnetic moment on the atom in μB.
Sites, in units of the cell vectors:
Tc  0.6535  0.2032  0.2032  -0.26
Tc  0.3465  0.7968  0.7968  -0.26
Mo  0.0000  0.0000  0.0000  2.49
O  0.1926  0.0467  0.7038  -0.01
O  0.1926  0.7038  0.0467  -0.01
O  0.8074  0.9533  0.2962  -0.01
O  0.2755  0.6251  0.6251  0.01
O  0.8074  0.2962  0.9533  -0.01
O  0.3215  0.1485  0.1485  -0.02
O  0.6785  0.8515  0.8515  -0.02
O  0.7245  0.3749  0.3749  0.01

Properties
* ΔE to the lowest computed polymorph: 144 meV/atom

***

[8]
# Tc2MoO8

Tc2MoO8 after structural relaxation (PBE with a Hubbard U, Alexandria).

Cell: 6.6007 5.8700 5.8700 Å, 120.00 90.00 90.00°
Last column: magnetic moment on the atom in μB.
Sites, in units of the cell vectors:
Tc  0.7727  0.6667  0.3333  -0.16
Tc  0.2273  0.3333  0.6667  -0.16
Mo  0.5000  0.0000  0.0000  2.35
O  0.9666  0.3333  0.6667  0.02
O  0.0334  0.6667  0.3333  0.02
O  0.3212  0.1698  0.3396  -0.02
O  0.6788  0.8302  0.6604  -0.02
O  0.6788  0.3396  0.1698  -0.02
O  0.3212  0.6604  0.8302  -0.02
O  0.3212  0.1698  0.8302  -0.02
O  0.6788  0.8302  0.1698  -0.02

Properties
* ΔE to the lowest computed polymorph: 0 meV/atom

***

Density? In order: 8.1, 6.8, 4.4, 5.3, 5.9, 6.0, 3.4, 3.5 g/cm³.
Magnetic moment? In order: 0.133, 0.080, 0.250, 0.072, 0.080, 0.115, 0.179, 0.181 μB/atom.